(1)
Density functional theory data (PBE) for a relaxed structure of SeClO2.

Lattice parameters (Å, degrees): 5.791 5.791 5.791 90.00 90.00 90.00
Space group Fm-3m (No. 225)
Inequivalent atoms, fractional coordinates:
Se: 0.000 0.000 0.000 [4 per cell]
Cl: 0.000 0.000 0.500 [4 per cell]
O: 0.250 0.250 0.250 [8 per cell]

Results
The value obtained for the total energy is -44.0 eV/cell. The calculation puts the total magnetization at 0.93 μB per formula unit. For the energy above the most stable polymorph in this dataset, the calculation gives 1003 meV/atom. For the formation energy (no corrections), the calculation gives 102.2 kJ per mole of atoms.

=====

(2)
Density functional theory data (PBE) for a relaxed structure of CsKSe.

Lattice parameters (Å, degrees): 4.558 4.558 11.056 90.00 90.00 90.00
Space group I4mm (No. 107)
Inequivalent atoms, fractional coordinates:
Cs: 0.000 0.000 0.000 [2 per cell]
K: 0.000 0.000 0.293 [2 per cell]
Se: 0.000 0.000 0.668 [2 per cell]

Results
The value obtained for the total energy is -16.3 eV/cell. The calculation puts the total magnetization at 0.00 μB per formula unit. For the formation energy (no corrections), the calculation gives -87.8 kJ per mole of atoms.

=====

(3)
Density functional theory data (PBE) for a relaxed structure of CaY2In.

Lattice parameters (Å, degrees): 3.612 3.612 9.609 90.00 90.00 90.00
Space group P4mm (No. 99)
Inequivalent atoms, fractional coordinates:
Ca: 0.000 0.000 0.000 [1 per cell]
Y: 0.000 0.000 0.442 [1 per cell]
Y: 0.500 0.500 0.701 [1 per cell]
In: 0.500 0.500 0.225 [1 per cell]

Results
The value obtained for the total energy is -18.5 eV/cell. The calculation puts the total magnetization at 0.00 μB per formula unit. The energy of formation is -0.22 eV per atom.

=====

What is the formula in the first record? SeClO2